No. 1
Ba12Ca3F5 | PBE-GGA | relaxed

Cell: 16.550 16.550 16.550 Å, 109.47 109.47 109.47°
Fractional coordinates of all 80 atoms:
Ba 0.603 0.600 0.909
F 0.625 0.750 0.875
F 0.750 0.625 0.375
Ba 0.809 0.900 0.003
Ba 0.497 0.806 0.897
F 0.375 0.125 0.750
Ba 0.600 0.997 0.691
F 0.000 0.000 0.000
Ba 0.694 0.591 0.191
Ba 0.400 0.397 0.591
Ba 0.600 0.603 0.409
F 0.875 0.250 0.625
Ca 0.125 0.875 0.750
Ba 0.897 0.591 0.900
F 0.375 0.250 0.125
Ba 0.809 0.909 0.306
Ca 0.875 0.125 0.250
Ba 0.309 0.503 0.400
F 0.500 0.000 0.500
F 0.750 0.125 0.875
Ba 0.806 0.497 0.397
Ba 0.003 0.603 0.694
Ba 0.100 0.191 0.497
Ca 0.250 0.625 0.875
Ba 0.309 0.806 0.409
F 0.250 0.375 0.625
Ba 0.397 0.997 0.806
F 0.000 0.500 0.500
F 0.250 0.875 0.125
F 0.500 0.500 0.000
Ca 0.625 0.250 0.375
Ca 0.625 0.375 0.750
Ba 0.409 0.103 0.600
Ba 0.400 0.003 0.309
Ba 0.191 0.100 0.997
Ca 0.750 0.375 0.125
Ba 0.900 0.091 0.897
F 0.625 0.875 0.250
Ba 0.103 0.694 0.503
Ba 0.397 0.400 0.091
Ba 0.591 0.694 0.691
Ba 0.691 0.194 0.591
F 0.500 0.000 0.000
Ba 0.691 0.497 0.600
Ba 0.909 0.100 0.603
Ba 0.694 0.103 0.003
F 0.125 0.750 0.375
Ba 0.897 0.306 0.497
Ca 0.125 0.250 0.875
Ca 0.375 0.750 0.625
Ba 0.997 0.600 0.191
Ba 0.091 0.900 0.397
Ba 0.191 0.091 0.694
Ca 0.750 0.875 0.625
Ca 0.875 0.750 0.125
Ba 0.091 0.191 0.194
F 0.000 0.000 0.500
Ba 0.100 0.909 0.103
Ba 0.591 0.897 0.400
Ba 0.909 0.809 0.806
Ba 0.900 0.809 0.503
F 0.875 0.625 0.750
F 0.000 0.500 0.000
Ba 0.306 0.409 0.809
Ba 0.003 0.400 0.809
Ba 0.194 0.503 0.603
F 0.500 0.500 0.500
Ba 0.503 0.309 0.900
Ca 0.375 0.625 0.250
Ca 0.250 0.125 0.375
Ba 0.306 0.897 0.997
Ba 0.103 0.409 0.100
Ba 0.409 0.306 0.309
Ba 0.497 0.691 0.100
F 0.125 0.375 0.250
Ba 0.806 0.309 0.909
Ba 0.194 0.691 0.091
Ba 0.603 0.003 0.194
Ba 0.997 0.397 0.306
Ba 0.503 0.194 0.103

Output
- Total energy: -3.18 eV per atom
- Formation energy (no corrections): -1.2631 eV/atom
- Magnetization: 0.004 μB/f.u.
- Fermi-level density of states: 28.84 states/eV/f.u.

***

No. 2
BaCaF | PBE-GGA | relaxed

Cell: 4.024 4.024 13.208 Å, 90.00 90.00 90.00°
Fractional coordinates of all 6 atoms:
F 0.000 0.000 0.000
F 0.500 0.500 0.000
Ba 0.500 0.000 0.642
Ca 0.500 0.000 0.097
Ba 0.000 0.500 0.358
Ca 0.000 0.500 0.903

Output
- Total energy: -3.81 eV per atom
- Excess energy over the best structure of this formula in the dataset: 0 meV per atom
- Formation energy (no corrections): -1.8825 eV/atom
- Magnetization: 0.000 μB/f.u.
- Fermi-level density of states: 2.93 states/eV/f.u.

***

No. 3
BaCaF3 | PBE-GGA | relaxed

Cell: 5.088 5.088 5.088 Å, 90.00 90.00 90.00°
Fractional coordinates of all 5 atoms:
F 0.500 0.000 0.000
Ca 0.500 0.500 0.500
F 0.000 0.500 0.000
F 0.000 0.000 0.500
Ba 0.000 0.000 0.000

Output
- Total energy: -4.70 eV per atom
- Excess energy over the best structure of this formula in the dataset: 399 meV per atom
- Formation energy (no corrections): -2.7969 eV/atom
- Magnetization: 0.000 μB/f.u.
- Fermi-level density of states: 1.61 states/eV/f.u.

***

No. 4
BaCa2F | PBE-GGA | relaxed

Cell: 7.600 7.600 7.603 Å, 60.01 60.01 90.00°
Fractional coordinates of all 8 atoms:
F 0.250 0.750 0.500
Ca 0.875 0.625 0.750
Ca 0.375 0.625 0.250
Ba 0.750 0.250 0.500
F 0.500 0.500 0.000
Ba 0.000 0.000 0.000
Ca 0.375 0.625 0.750
Ca 0.375 0.125 0.250

Output
- Total energy: -3.37 eV per atom
- Excess energy over the best structure of this formula in the dataset: 0 meV per atom
- Formation energy (no corrections): -1.4170 eV/atom
- Magnetization: 0.000 μB/f.u.
- Fermi-level density of states: 1.34 states/eV/f.u.

***

No. 5
BaCaF | PBE-GGA | relaxed

Cell: 4.027 4.027 7.740 Å, 90.00 90.00 120.00°
Fractional coordinates of all 3 atoms:
Ca 0.667 0.333 0.500
Ba 0.000 0.000 0.000
F 0.333 0.667 0.500

Output
- Total energy: -3.61 eV per atom
- Excess energy over the best structure of this formula in the dataset: 201 meV per atom
- Formation energy (no corrections): -1.6820 eV/atom
- Magnetization: 0.000 μB/f.u.
- Fermi-level density of states: 2.78 states/eV/f.u.

***

No. 6
BaCaF | PBE-GGA | relaxed

Cell: 4.042 4.042 7.069 Å, 90.00 90.00 120.00°
Fractional coordinates of all 3 atoms:
Ba 0.000 0.000 0.396
Ca 0.667 0.333 0.895
F 0.000 0.000 0.891

Output
- Total energy: -3.70 eV per atom
- Excess energy over the best structure of this formula in the dataset: 117 meV per atom
- Formation energy (no corrections): -1.7655 eV/atom
- Magnetization: 0.001 μB/f.u.
- Fermi-level density of states: 3.31 states/eV/f.u.

***

No. 7
BaCa3F8 | PBE-GGA | relaxed

Cell: 5.719 5.719 5.719 Å, 90.00 90.00 90.00°
Fractional coordinates of all 12 atoms:
Ba 0.000 0.000 0.000
F 0.737 0.737 0.263
Ca 0.500 0.000 0.500
F 0.263 0.263 0.737
Ca 0.000 0.500 0.500
F 0.737 0.737 0.737
Ca 0.500 0.500 0.000
F 0.737 0.263 0.263
F 0.263 0.263 0.263
F 0.737 0.263 0.737
F 0.263 0.737 0.737
F 0.263 0.737 0.263

Output
- Total energy: -5.78 eV per atom
- Formation energy (no corrections): -3.8743 eV/atom
- Magnetization: 0.000 μB/f.u.
- Fermi-level density of states: 0.00 states/eV/f.u.

***

No. 8
BaCa2F | PBE-GGA | relaxed

Cell: 3.846 3.846 10.658 Å, 79.60 79.60 60.00°
Site moments in Bohr magnetons follow the coordinates.
Fractional coordinates of all 4 atoms:
Ba 0.000 0.000 0.000  0.10
F 0.500 0.500 0.500  0.03
Ca 0.118 0.118 0.646  0.10
Ca 0.882 0.882 0.354  0.10

Output
- Total energy: -3.02 eV per atom
- Excess energy over the best structure of this formula in the dataset: 345 meV per atom
- Formation energy (no corrections): -1.0716 eV/atom
- Magnetization: 0.966 μB/f.u.
- Fermi-level density of states: 3.57 states/eV/f.u.

***

No. 9
Ba2CaF6 | PBE-GGA | relaxed

Cell: 4.300 6.043 7.332 Å, 114.34 107.05 90.00°
Site moments in Bohr magnetons follow the coordinates.
Fractional coordinates of all 9 atoms:
F 0.154 0.390 0.307  0.01
F 0.846 0.082 0.693  0.01
F 0.846 0.610 0.693  0.01
Ca 0.000 0.000 0.000  0.00
F 0.500 0.780 0.000  0.07
Ba 0.664 0.664 0.328  0.00
F 0.154 0.918 0.307  0.01
Ba 0.336 0.336 0.672  0.00
F 0.500 0.220 0.000  0.07

Output
- Total energy: -5.76 eV per atom
- Formation energy (no corrections): -3.8602 eV/atom
- Magnetization: 0.178 μB/f.u.
- Fermi-level density of states: 0.00 states/eV/f.u.

***

No. 10
BaCa2F | PBE-GGA | relaxed

Cell: 6.199 6.199 6.199 Å, 60.00 60.00 60.00°
Fractional coordinates of all 4 atoms:
Ca 0.250 0.250 0.250
Ca 0.750 0.750 0.750
F 0.000 0.000 0.000
Ba 0.500 0.500 0.500

Output
- Total energy: -2.21 eV per atom
- Excess energy over the best structure of this formula in the dataset: 1156 meV per atom
- Formation energy (no corrections): -0.2608 eV/atom
- Magnetization: 0.300 μB/f.u.
- Fermi-level density of states: 6.49 states/eV/f.u.

***

No. 11
BaCa2F7 | PBE-GGA | relaxed

Cell: 4.264 6.661 6.661 Å, 115.81 90.00 90.00°
Site moments in Bohr magnetons follow the coordinates.
Fractional coordinates of all 10 atoms:
F 0.000 0.753 0.247  0.05
Ba 0.000 0.000 0.000  0.00
F 0.500 0.681 0.929  0.14
F 0.500 0.500 0.500  0.37
F 0.500 0.319 0.071  0.14
Ca 0.500 0.298 0.702  0.00
F 0.000 0.247 0.753  0.05
F 0.500 0.071 0.319  0.14
F 0.500 0.929 0.681  0.14
Ca 0.500 0.702 0.298  0.00

Output
- Total energy: -5.34 eV per atom
- Excess energy over the best structure of this formula in the dataset: 42 meV per atom
- Formation energy (no corrections): -3.4378 eV/atom
- Magnetization: 1.116 μB/f.u.
- Fermi-level density of states: 6.98 states/eV/f.u.

***

No. 12
BaCaF4 | PBE-GGA | relaxed

Cell: 5.946 5.946 7.179 Å, 114.47 114.47 90.00°
Fractional coordinates of all 12 atoms:
F 0.875 0.346 0.250
F 0.875 0.904 0.250
F 0.096 0.125 0.750
F 0.654 0.125 0.750
Ba 0.500 0.500 0.000
Ca 0.750 0.250 0.500
F 0.375 0.904 0.250
Ba 0.250 0.750 0.500
F 0.096 0.625 0.750
F 0.375 0.346 0.250
F 0.654 0.625 0.750
Ca 0.000 0.000 0.000

Output
- Total energy: -5.76 eV per atom
- Excess energy over the best structure of this formula in the dataset: 0 meV per atom
- Formation energy (no corrections): -3.8587 eV/atom
- Magnetization: 0.000 μB/f.u.
- Fermi-level density of states: 0.00 states/eV/f.u.

***

What is the Fermi-level density of states in the second record? 2.93 states/eV/f.u.

***

Fermi-level density of states of number 2 (BaCaF)? 2.93 states/eV/f.u.

***

What is the total energy in the third record? -4.70 eV per atom